Record 1
{
  "formula": "PbSeS3",
  "functional": "GGA-PBE",
  "state": "optimized geometry",
  "lattice_angstrom": [[4.8471, 0.0000, 0.0000], [0.0000, 4.8471, 0.0000], [0.0000, 0.0000, 4.8471]],
  "species": ["Pb", "Se", "S", "S", "S"],
  "frac_coords": [[0.0000, 0.0000, 0.0000], [0.5000, 0.5000, 0.5000], [0.0000, 0.5000, 0.5000], [0.5000, 0.0000, 0.5000], [0.5000, 0.5000, 0.0000]],
  "total_energy_ev_per_atom": -3.7115,
  "sg": "Pm-3m (221)",
  "volume_a3_per_atom": 22.78
}



Record 2
{
  "formula": "Ac6PrY2",
  "functional": "GGA-PBE",
  "state": "optimized geometry",
  "lattice_angstrom": [[8.1125, -4.9215, 0.0000], [8.1125, 4.9215, 0.0000], [-0.4864, 0.0000, 9.6241]],
  "species": ["Ac", "Ac", "Ac", "Ac", "Ac", "Ac", "Ac", "Ac", "Ac", "Ac", "Ac", "Ac", "Pr", "Pr", "Y", "Y", "Y", "Y"],
  "frac_coords": [[0.0194, 0.3013, 0.4764], [0.1036, 0.7472, 0.8905], [0.2528, 0.8964, 0.6095], [0.3013, 0.0194, 0.9764], [0.3818, 0.3967, 0.1261], [0.3967, 0.3818, 0.6261], [0.6033, 0.6182, 0.3739], [0.6182, 0.6033, 0.8739], [0.6987, 0.9806, 0.0236], [0.7472, 0.1036, 0.3905], [0.8964, 0.2528, 0.1095], [0.9806, 0.6987, 0.5236], [0.1519, 0.8481, 0.2500], [0.8481, 0.1519, 0.7500], [0.0538, 0.4036, 0.8305], [0.4036, 0.0538, 0.3305], [0.5964, 0.9462, 0.6695], [0.9462, 0.5964, 0.1695]],
  "formation_enthalpy_0k_mev_per_atom": 205.5,
  "sg": "C2/c (15)",
  "volume_a3_per_atom": 42.69
}



Record 3
{
  "formula": "AgSnH",
  "functional": "GGA-PBE",
  "state": "optimized geometry",
  "lattice_angstrom": [[5.8674, 0.0000, 0.0000], [0.0000, 3.0315, 0.0000], [-2.8740, 0.0000, 6.0313]],
  "species": ["Ag", "Ag", "Sn", "Sn", "H", "H"],
  "frac_coords": [[0.0000, 0.0000, 0.0000], [0.4345, 0.5000, 0.9290], [0.2437, 0.5000, 0.4111], [0.7763, 0.5000, 0.4809], [0.6323, 0.0000, 0.9835], [0.9822, 0.5000, 0.8134]],
  "total_energy_ev_per_atom": -3.1630,
  "sg": "Pm (6)",
  "volume_a3_per_atom": 17.88
}



Record 4
{
  "formula": "MgAsPt2",
  "functional": "GGA-PBE",
  "state": "optimized geometry",
  "lattice_angstrom": [[8.7494, 0.0000, 0.0000], [0.0000, 3.1053, 0.0000], [-0.9758, 0.0000, 4.7933]],
  "species": ["Mg", "Mg", "As", "As", "Pt", "Pt", "Pt", "Pt"],
  "frac_coords": [[0.0000, 0.0000, 0.0000], [0.5000, 0.5000, 0.0000], [0.0000, 0.5000, 0.5000], [0.5000, 0.0000, 0.5000], [0.2478, 0.0000, 0.7484], [0.2522, 0.5000, 0.2516], [0.7478, 0.5000, 0.7484], [0.7522, 0.0000, 0.2516]],
  "formation_enthalpy_0k_mev_per_atom": -418.3,
  "sg": "C2/m (12)",
  "volume_a3_per_atom": 16.28
}